VASP calculation (GGA+U) on a geometry-optimized PaCr2TeO8 structure.

The structure in extended XYZ format:
```
12
Lattice="-3.966 1.249 4.249 -2.640 -0.743 -5.274 2.792 -5.046 1.444" Properties=species:S:1:pos:R:3 pbc="T T T"
O 0.711 -3.824 1.830
Cr -3.303 0.253 -0.513
Pa 0.000 0.000 0.000
O -2.024 -0.908 -1.023
O -3.638 -0.596 3.086
Cr -2.239 -1.772 2.590
Te -1.576 -2.768 -2.171
O -4.769 -0.350 0.341
O -3.582 -2.739 1.668
O -0.650 -1.174 1.749
O -1.546 -3.999 -0.310
O -1.084 -2.580 3.857
```

- Theoretical density: 6.07 g/cm³
- DFT total energy: -7.52 eV per atom